A plane-wave DFT calculation with GGA-PBE was carried out for a relaxed CeTmRuPb crystal.

Energy relative to the elements in eV per atom: -0.45
Spin magnetization in Bohr magnetons per cell: 0.510
Polymorph energy (0 for the lowest one) in meV per atom: 0
DOS(E_F) in states/eV/cell: 4.1

Geometry as CIF:
```
data_CeTmRuPb
_cell_length_a 3.3820
_cell_length_b 3.3820
_cell_length_c 8.4232
_cell_angle_alpha 90.00
_cell_angle_beta 90.00
_cell_angle_gamma 90.00
_symmetry_space_group_name_H-M 'P 4 m m'
_symmetry_Int_Tables_number 99
loop_
_symmetry_equiv_pos_as_xyz
'x,y,z'
'-y,x,z'
'-x,-y,z'
'y,-x,z'
'-x,y,z'
'y,x,z'
'x,-y,z'
'-y,-x,z'
loop_
_atom_site_label
_atom_site_type_symbol
_atom_site_fract_x
_atom_site_fract_y
_atom_site_fract_z
_atom_site_occupancy
Ce1 Ce 0.0000 0.0000 0.0000 1
Tm1 Tm 0.0000 0.0000 0.5946 1
Ru1 Ru 0.5000 0.5000 0.7921 1
Pb1 Pb 0.5000 0.5000 0.3056 1
```